This record from Alexandria via LeMat-Bulk describes an optimized crystal structure of ZrSbPb2. The functional is PBE.

Computed properties:
**Space-group type**: Cm, No. 8

Geometry as POSCAR:
```
ZrSbPb2
1.0
6.354 0.132 0.251
5.454 3.264 0.251
1.385 0.398 5.482
Sb Zr Pb
1 1 2
direct
0.467 0.467 0.477
0.770 0.770 0.790
0.238 0.238 0.302
0.024 0.024 0.931
```

This record from Alexandria via LeMat-Bulk describes an optimized crystal structure of ZrSb2Pb. The functional is PBE.

Computed properties:
**Space-group type**: Pmmm, No. 47

Geometry as POSCAR:
```
ZrSb2Pb
1.0
3.828 0.000 0.000
0.000 5.336 0.000
0.000 0.000 5.062
Sb Pb Zr
2 1 1
direct
0.000 0.000 0.000
0.500 0.500 0.000
0.000 0.500 0.500
0.500 0.000 0.500
```

Which energy relative to the elements, uncorrected belongs to each record? In order, -0.036; 0.020 eV per atom.
Which magnetic moment belongs to each record? In order, 0.000; 0.000 μB per cell.
Which final energy belongs to each record? In order, -5.06; -5.11 eV/atom.